[1]
The following is a DFT calculation (GGA-PBE) of a relaxed structure of AlCo2Cl.

Geometry as POSCAR:
```
AlCo2Cl
1.0
0.000 2.973 2.973
2.973 0.000 2.973
2.973 2.973 0.000
Al Co Cl
1 2 1
Direct
0.000 0.000 0.000
0.250 0.250 0.250
0.750 0.750 0.750
0.500 0.500 0.500
```

* formation energy without anion corrections: 0.4601 eV/atom
* Fermi-level density of states: 3.2 states/eV/f.u.
* space group: Fm-3m, No. 225



[2]
The following is a DFT calculation (GGA-PBE) of a relaxed structure of AlCo2Cl.

Geometry as POSCAR:
```
AlCo2Cl
1.0
1.465 0.846 8.640
-1.465 0.846 8.640
0.000 -1.692 8.640
Al Co Cl
1 2 1
Direct
0.000 0.000 0.000
0.264 0.264 0.264
0.532 0.532 0.532
0.734 0.734 0.734
```

* formation energy without anion corrections: 0.0778 eV/atom
* Fermi-level density of states: 2.7 states/eV/f.u.
* space group: R3m, No. 160



[3]
The following is a DFT calculation (GGA-PBE) of a relaxed structure of Al2CoCl.

Geometry as POSCAR:
```
Al2CoCl
1.0
4.799 0.000 0.000
0.000 4.799 0.000
0.000 0.000 2.732
Al Co Cl
2 1 1
Direct
0.000 0.500 0.000
0.500 0.000 0.000
0.000 0.000 0.500
0.500 0.500 0.003
```

* formation energy without anion corrections: -0.0983 eV/atom
* Fermi-level density of states: 1.8 states/eV/f.u.
* space group: P4mm, No. 99



Calculated polymorph energy (0 for the lowest one), 550 168 353 meV/atom (same order as the records).
Calculated electronic total energy, -4.490 -4.872 -4.208 eV/atom (same order as the records).
Calculated magnetic moment, 1.9 3.2 1.0 μB per cell (same order as the records).